The following is a PBE calculation of an optimized crystal structure of NaTbZnS3, from OQMD via LeMat-Bulk.

The structure in CIF format:
```
data_NaTbZnS3
_space_group_name_H-M_alt 'P n m a'
_space_group_IT_number 62
_cell_length_a 11.2186
_cell_length_b 3.9766
_cell_length_c 11.4769
_cell_angle_alpha 90.00
_cell_angle_beta 90.00
_cell_angle_gamma 90.00
loop_
_space_group_symop_operation_xyz
'x,y,z'
'-x,-y,-z'
'-x+1/2,-y,z+1/2'
'x+1/2,y,-z+1/2'
'x+1/2,-y+1/2,-z+1/2'
'-x+1/2,y+1/2,z+1/2'
'-x,y+1/2,-z'
'x,-y+1/2,z'
loop_
_atom_site_label
_atom_site_type_symbol
_atom_site_fract_x
_atom_site_fract_y
_atom_site_fract_z
Na1 Na 0.1500 0.2500 0.0066
Tb1 Tb 0.0278 0.2500 0.6752
Zn1 Zn 0.2446 0.2500 0.2913
S1 S 0.0565 0.7500 0.8437
S2 S 0.1011 0.2500 0.4352
S3 S 0.2174 0.7500 0.1802
```

Values from the calculation:
The value obtained for the total moment is 0.00 μB per cell. Its crystal system is orthorhombic. As for the energy above the lowest structure with this stoichiometry: 8.3 meV/atom.

---

The following is a PBE calculation of an optimized crystal structure of YCuHgSe3, from OQMD via LeMat-Bulk.

The structure in CIF format:
```
data_YCuHgSe3
_space_group_name_H-M_alt 'C m c m'
_space_group_IT_number 63
_space_group_name_Hall '-C 2c 2'
_cell_length_a 3.9538
_cell_length_b 13.1570
_cell_length_c 10.8009
_cell_angle_alpha 90.00
_cell_angle_beta 90.00
_cell_angle_gamma 90.00
loop_
_atom_site_label
_atom_site_type_symbol
_atom_site_fract_x
_atom_site_fract_y
_atom_site_fract_z
Y1 Y 0.0000 0.0000 0.0000
Cu1 Cu 0.0000 0.4709 0.2500
Hg1 Hg 0.0000 0.2421 0.7500
Se1 Se 0.0000 0.0911 0.2500
Se2 Se 0.0000 0.3564 0.0736
```

Values from the calculation:
The value obtained for the total moment is 0.00 μB per cell. The calculated total energy comes out at -4.241 eV/atom. Its crystal system is orthorhombic.

---

The following is a PBE calculation of an optimized crystal structure of RbReW, from OQMD via LeMat-Bulk.

The structure in CIF format:
```
data_RbReW
_space_group_name_H-M_alt 'F -4 3 m'
_space_group_IT_number 216
_space_group_name_Hall 'F -4 2 3'
_cell_length_a 6.4682
_cell_length_b 6.4682
_cell_length_c 6.4682
_cell_angle_alpha 90.00
_cell_angle_beta 90.00
_cell_angle_gamma 90.00
loop_
_atom_site_label
_atom_site_type_symbol
_atom_site_fract_x
_atom_site_fract_y
_atom_site_fract_z
Rb1 Rb 0.0000 0.0000 0.0000
Re1 Re 0.2500 0.2500 0.2500
W1 W 0.0000 0.0000 0.5000
```

Values from the calculation:
The value obtained for the total moment is 0.03 μB per cell. Its crystal system is cubic. As for the energy above the lowest structure with this stoichiometry: 0.0 meV/atom.